This record from the Open Quantum Materials Database describes Nb2ReMo after structural relaxation. The functional is PBE-GGA.

Geometry as POSCAR:
```
Nb2ReMo
1.0
-1.1343 2.4236 3.6802
-1.5326 -3.7799 2.0169
2.9185 -0.5205 1.2423
Mo Nb Re
1 2 1
direct
0.0000 0.0000 0.0000
0.5000 0.0000 0.5000
0.0000 0.5000 0.5000
0.5000 0.5000 0.0000
```

Computed properties:
- Energy of formation: -0.85 eV/f.u.
- Total magnetic moment: 0.0 Bohr magnetons per cell
- Calculated density: 11.68 g/cm3
- SG: P4/mmm